(1)
PBE GdLu2Cu4Ge4, optimized geometry; crystal system = orthorhombic; uncorrected energy = -4.896 eV per atom; space group = No. 71
1.0
-2.072 3.343 6.920
2.072 -3.343 6.920
2.072 3.343 -6.920
Gd Lu Cu Ge
1 2 4 4
Direct
0.000 0.000 0.000
0.371 0.871 0.500
0.629 0.129 0.500
0.022 0.330 0.692
0.361 0.670 0.692
0.639 0.330 0.308
0.978 0.670 0.308
0.218 0.218 0.000
0.311 0.500 0.811
0.689 0.500 0.189
0.782 0.782 0.000

***

(2)
PBE Hf31SnO64, optimized geometry; polymorph energy (0 for the lowest one) = 43 kJ/mol of formula units; crystal system = triclinic; space group = No. 1
1.0
10.027 0.000 0.000
-0.010 10.078 0.000
-0.001 -0.004 10.451
Hf Sn O
31 1 64
Direct
0.000 0.000 0.000
0.000 0.000 0.500
0.000 0.250 0.283
0.000 0.750 0.283
0.001 0.250 0.783
0.001 0.501 0.001
0.267 0.000 0.250
0.267 0.749 0.033
0.267 0.751 0.531
0.267 0.999 0.750
0.268 0.250 0.033
0.268 0.250 0.534
0.268 0.500 0.250
0.500 0.000 0.500
0.500 0.249 0.784
0.500 0.250 0.283
0.500 0.499 0.001
0.500 0.500 0.500
0.500 0.750 0.282
0.500 0.750 0.782
0.500 0.999 0.000
0.767 0.000 0.250
0.767 0.000 0.750
0.767 0.750 0.033
0.767 0.750 0.533
0.768 0.250 0.033
0.768 0.250 0.533
0.768 0.499 0.250
0.768 0.499 0.750
0.998 0.751 0.784
0.999 0.500 0.500
0.265 0.504 0.748
0.097 0.681 0.950
0.098 0.181 0.451
0.098 0.430 0.334
0.098 0.681 0.450
0.098 0.930 0.333
0.098 0.931 0.833
0.099 0.180 0.950
0.099 0.431 0.834
0.168 0.430 0.583
0.168 0.680 0.200
0.168 0.685 0.699
0.169 0.179 0.700
0.169 0.180 0.201
0.169 0.930 0.083
0.170 0.430 0.084
0.170 0.931 0.582
0.363 0.123 0.884
0.363 0.125 0.384
0.363 0.622 0.883
0.363 0.626 0.383
0.363 0.873 0.899
0.364 0.375 0.400
0.364 0.876 0.398
0.367 0.373 0.903
0.404 0.125 0.134
0.404 0.375 0.151
0.404 0.376 0.651
0.404 0.625 0.133
0.404 0.626 0.633
0.404 0.875 0.149
0.405 0.126 0.634
0.405 0.876 0.648
0.596 0.681 0.950
0.598 0.681 0.450
0.598 0.930 0.833
0.598 0.931 0.333
0.599 0.179 0.950
0.599 0.180 0.450
0.599 0.431 0.333
0.600 0.429 0.834
0.669 0.181 0.200
0.669 0.181 0.700
0.669 0.430 0.583
0.669 0.679 0.200
0.669 0.680 0.700
0.669 0.930 0.083
0.669 0.931 0.583
0.670 0.430 0.083
0.862 0.625 0.884
0.863 0.125 0.384
0.863 0.375 0.399
0.863 0.625 0.384
0.863 0.875 0.399
0.863 0.876 0.899
0.864 0.126 0.883
0.866 0.375 0.900
0.904 0.125 0.134
0.904 0.125 0.634
0.904 0.375 0.650
0.904 0.625 0.134
0.904 0.625 0.634
0.904 0.875 0.149
0.904 0.876 0.649
0.905 0.375 0.150

***

(3)
PBE TmCdSi, optimized geometry; crystal system = cubic; uncorrected energy = -3.536 eV per atom; space group = No. 216
1.0
0.000 3.355 3.355
3.355 0.000 3.355
3.355 3.355 0.000
Tm Cd Si
1 1 1
Direct
0.000 0.000 0.000
0.750 0.750 0.750
0.250 0.250 0.250

***

(4)
PBE Lu4ZnNiN2, optimized geometry; crystal system = hexagonal; uncorrected energy = -6.126 eV per atom; space group = No. 187
1.0
3.367 0.000 0.000
-1.684 2.916 0.000
0.000 0.000 14.005
Lu Zn Ni N
4 1 1 2
Direct
0.000 0.000 0.139
0.000 0.000 0.861
0.333 0.667 0.332
0.333 0.667 0.668
0.000 0.000 0.500
0.333 0.667 0.000
0.667 0.333 0.242
0.667 0.333 0.758

***

(5)
PBE RbNaHg4, optimized geometry; polymorph energy (0 for the lowest one) = 0 kJ/mol of formula units; crystal system = hexagonal; space group = No. 191
1.0
5.296 0.000 0.000
-2.648 4.587 0.000
0.000 0.000 7.928
Rb Na Hg
1 1 4
Direct
0.000 0.000 0.000
0.000 0.000 0.500
0.333 0.667 0.301
0.333 0.667 0.699
0.667 0.333 0.301
0.667 0.333 0.699

***

(6)
PBE Co4GeAsC2, optimized geometry; crystal system = hexagonal; uncorrected energy = -6.864 eV per atom; space group = No. 187
1.0
2.935 0.000 0.000
-1.468 2.542 0.000
0.000 0.000 11.677
Co Ge As C
4 1 1 2
Direct
0.000 0.000 0.161
0.000 0.000 0.839
0.667 0.333 0.323
0.667 0.333 0.677
0.667 0.333 0.000
0.000 0.000 0.500
0.333 0.667 0.246
0.333 0.667 0.754

***

(7)
PBE LiTaNiSe3, optimized geometry; crystal system = orthorhombic; uncorrected energy = -5.706 eV per atom; space group = No. 63
1.0
1.739 -6.584 0.000
1.739 6.584 0.000
0.000 0.000 9.588
Li Ta Ni Se
2 2 2 6
Direct
0.219 0.781 0.750
0.781 0.219 0.250
0.000 0.000 0.000
0.000 0.000 0.500
0.471 0.529 0.250
0.529 0.471 0.750
0.093 0.907 0.250
0.359 0.641 0.060
0.359 0.641 0.440
0.641 0.359 0.560
0.641 0.359 0.940
0.907 0.093 0.750

***

(8)
PBE DyHfCS, optimized geometry; polymorph energy (0 for the lowest one) = 15 kJ/mol of formula units; crystal system = trigonal; space group = No. 164
1.0
3.523 0.000 0.000
-1.761 3.051 0.000
0.000 0.000 12.560
Dy Hf C S
2 2 2 2
Direct
0.333 0.667 0.108
0.667 0.333 0.892
0.333 0.667 0.406
0.667 0.333 0.594
0.000 0.000 0.000
0.000 0.000 0.500
0.333 0.667 0.731
0.667 0.333 0.269